[1]
Below is a relaxed structure of Sr5Ca, with properties calculated at the GGA-PBEsol level.

a = 4.2210 Å, b = 6.9024 Å, c = 11.1090 Å
α = 90.00°, β = 100.95°, γ = 90.00°
Fractional coordinates of all 6 atoms:
Sr 0.3371 0.0000 0.6741
Sr 0.6628 0.0000 0.3257
Sr 0.4466 0.5000 0.8932
Sr 0.7775 0.5000 0.5550
Sr 0.1094 0.5000 0.2188
Ca 0.0000 0.0000 0.0000

Calculated values
ΔE_f: 0.018 eV/atom
Magnetic moment: 0.0 Bohr magnetons per cell
Space-group type: Amm2 (38)
Final energy: -11.228 eV/cell

[2]
Below is a relaxed structure of RuSe3I, with properties calculated at the GGA-PBEsol level.

a = 5.2593 Å, b = 5.2593 Å, c = 5.2593 Å
α = 90.00°, β = 90.00°, γ = 90.00°
Each line ends with the local moment (μB).
Fractional coordinates of all 5 atoms:
I 0.0000 0.0000 0.0000  -0.03
Ru 0.5000 0.5000 0.5000  2.89
Se 0.0000 0.5000 0.0000  0.11
Se 0.0000 0.0000 0.5000  0.11
Se 0.5000 0.0000 0.0000  0.11

Calculated values
Magnetic moment: 3.6 Bohr magnetons per cell
Space-group type: Pm-3m (221)
Final energy: -15.133 eV/cell
Formation energy without anion corrections: 1671 meV per atom

[3]
Below is a relaxed structure of MgAsCl, with properties calculated at the GGA-PBEsol level.

a = 4.5552 Å, b = 4.5552 Å, c = 4.5552 Å
α = 60.00°, β = 60.00°, γ = 60.00°
Fractional coordinates of all 3 atoms:
As 0.0000 0.0000 0.0000
Mg 0.2500 0.2500 0.2500
Cl 0.5000 0.5000 0.5000

Calculated values
Magnetic moment: 0.0 Bohr magnetons per cell
Space-group type: F-43m (216)
Final energy: -9.129 eV/cell
Formation energy without anion corrections: -99 meV per atom

> final energy of number 1 (Sr5Ca)?

-11.228 eV/cell

> Which of these has the highest magnetic moment?

RuSe3I